No. 1
First-principles (PBE) data for crystalline CaNb2B at its relaxed geometry, as listed in the Alexandria database. Values from VASP.

Properties
total energy: -6.249 eV per atom
density of states at the Fermi level: 5.8 states/eV/f.u.
space-group type: I4_1/amd
M_tot: 0.000 μB per atom
energy of formation from the pure elements: 955 meV per atom

Structure (Quantum ESPRESSO input):
```
&SYSTEM
  ibrav = 0, nat = 8, ntyp = 3
/
ATOMIC_SPECIES
Nb 92.91 Nb.upf
B 10.81 B.upf
Ca 40.08 Ca.upf
ATOMIC_POSITIONS crystal
Nb 0.375 0.125 0.250
Nb 0.375 0.625 0.250
Nb 0.375 0.625 0.750
Nb 0.875 0.625 0.750
B 0.500 0.500 0.000
B 0.250 0.750 0.500
Ca 0.000 0.000 0.000
Ca 0.750 0.250 0.500
CELL_PARAMETERS angstrom
-3.362 -4.512 1.313
1.981 0.103 5.427
-5.179 1.596 4.936
```



No. 2
First-principles (PBE) data for crystalline CaNbB3 at its relaxed geometry, as listed in the Alexandria database. Values from VASP.

Properties
total energy: -5.802 eV per atom
density of states at the Fermi level: 1.0 states/eV/f.u.
space-group type: Pm-3m
M_tot: 0.000 μB per atom
energy of formation from the pure elements: 619 meV per atom

Structure (Quantum ESPRESSO input):
```
&SYSTEM
  ibrav = 0, nat = 5, ntyp = 3
/
ATOMIC_SPECIES
Nb 92.91 Nb.upf
B 10.81 B.upf
Ca 40.08 Ca.upf
ATOMIC_POSITIONS crystal
Nb 0.000 0.000 0.000
B 0.000 0.500 0.000
B 0.000 0.000 0.500
B 0.500 0.000 0.000
Ca 0.500 0.500 0.500
CELL_PARAMETERS angstrom
4.320 0.000 0.000
0.000 4.320 0.000
0.000 0.000 4.320
```



No. 3
First-principles (PBE) data for crystalline CaNbB3 at its relaxed geometry, as listed in the Alexandria database. Values from VASP.

Properties
total energy: -3.949 eV per atom
density of states at the Fermi level: 5.7 states/eV/f.u.
space-group type: Pm-3m
M_tot: 0.000 μB per atom
energy of formation from the pure elements: 2472 meV per atom

Structure (Quantum ESPRESSO input):
```
&SYSTEM
  ibrav = 0, nat = 5, ntyp = 3
/
ATOMIC_SPECIES
Nb 92.91 Nb.upf
B 10.81 B.upf
Ca 40.08 Ca.upf
ATOMIC_POSITIONS crystal
Nb 0.500 0.500 0.500
B 0.000 0.500 0.000
B 0.000 0.000 0.500
B 0.500 0.000 0.000
Ca 0.000 0.000 0.000
CELL_PARAMETERS angstrom
4.130 0.000 0.000
0.000 4.130 0.000
0.000 0.000 4.130
```